A geometry-optimized HfAg structure, computed with PBE.

Calculated values
SG: Pmmn (59)
Formation energy from the elements in eV per atom: 0.138
Calculated total energy in eV per atom: -6.264
Crystal system: orthorhombic

a b c (Å): 3.177 4.925 5.127
angles (deg): 90.00 90.00 90.00
Positions (direct):
Ag: 0.750 0.250 0.932
Ag: 0.250 0.750 0.068
Hf: 0.250 0.250 0.429
Hf: 0.750 0.750 0.571

=====

A geometry-optimized LiCo2TeAs structure, computed with PBE.

Calculated values
SG: P4/mmm (123)
Calculated total energy in eV per atom: -3.825
Crystal system: tetragonal
ΔE_f (raw) in meV/atom: 959

a b c (Å): 4.355 4.454 4.355
angles (deg): 90.00 90.00 90.00
Positions (direct):
Co: 0.500 0.000 0.000
Co: 0.000 0.000 0.500
Te: 0.000 0.500 0.000
Li: 0.000 0.000 0.000
As: 0.500 0.500 0.500

=====

A geometry-optimized ZrTl2Pt structure, computed with PBE.

Calculated values
SG: P2/m (10)
E above lowest polymorph in eV per atom: 0.244
Formation energy from the elements in eV per atom: -0.036
Calculated total energy in eV per atom: -4.866
Crystal system: monoclinic

a b c (Å): 4.780 3.403 5.454
angles (deg): 84.29 90.00 90.00
Positions (direct):
Pt: 0.500 0.750 0.750
Tl: 0.000 0.556 0.509
Tl: 0.000 0.944 0.991
Zr: 0.500 0.250 0.250

=====

A geometry-optimized SbOs3Se structure, computed with PBE.

Calculated values
SG: Pm-3m (221)
E above lowest polymorph in eV per atom: 0.937
Calculated total energy in eV per atom: -5.631
Crystal system: cubic
ΔE_f (raw) in meV/atom: 2629

a b c (Å): 4.887 4.887 4.887
angles (deg): 90.00 90.00 90.00
Positions (direct):
Sb: 0.000 0.000 0.000
Se: 0.500 0.500 0.500
Os: 0.000 0.500 0.000
Os: 0.000 0.000 0.500
Os: 0.500 0.000 0.000

=====

A geometry-optimized CaTi3Fe structure, computed with PBE.

Calculated values
SG: Pm-3m (221)
E above lowest polymorph in eV per atom: 1.814
Formation energy from the elements in eV per atom: 2.070
Calculated total energy in eV per atom: -4.759
Crystal system: cubic

a b c (Å): 4.465 4.465 4.465
angles (deg): 90.00 90.00 90.00
Positions (direct):
Ti: 0.000 0.500 0.000
Ti: 0.500 0.000 0.000
Ti: 0.000 0.000 0.500
Ca: 0.000 0.000 0.000
Fe: 0.500 0.500 0.500

=====

A geometry-optimized PrScPt2 structure, computed with PBE.

Calculated values
SG: P2_1/m (11)
E above lowest polymorph in eV per atom: 0.000
Formation energy from the elements in eV per atom: -1.137
Calculated total energy in eV per atom: -6.935
Crystal system: monoclinic

a b c (Å): 4.512 5.835 7.304
angles (deg): 115.66 90.00 90.00
Positions (direct):
Pr: 0.250 0.290 0.109
Pr: 0.750 0.710 0.891
Pt: 0.750 0.149 0.782
Pt: 0.750 0.291 0.404
Pt: 0.250 0.851 0.218
Pt: 0.250 0.709 0.596
Sc: 0.750 0.772 0.405
Sc: 0.250 0.228 0.595

=====

A geometry-optimized PmHfSn structure, computed with PBE.

Calculated values
SG: I4/mmm (139)
E above lowest polymorph in eV per atom: 0.000
Formation energy from the elements in eV per atom: -0.486
Calculated total energy in eV per atom: -6.722
Crystal system: tetragonal

a b c (Å): 4.388 4.388 8.973
angles (deg): 104.15 104.15 90.00
Positions (direct):
Hf: 0.500 0.000 0.000
Hf: 0.000 0.500 0.000
Sn: 0.127 0.127 0.253
Sn: 0.873 0.873 0.747
Pm: 0.325 0.325 0.650
Pm: 0.675 0.675 0.350

=====

A geometry-optimized CePmYLu structure, computed with PBE.

Calculated values
SG: F-43m (216)
Formation energy from the elements in eV per atom: 0.186
Calculated total energy in eV per atom: -5.231
Crystal system: cubic

a b c (Å): 5.677 5.677 5.677
angles (deg): 60.00 60.00 60.00
Positions (direct):
Ce: 0.250 0.250 0.250
Lu: 0.000 0.000 0.000
Y: 0.750 0.750 0.750
Pm: 0.500 0.500 0.500

=====

A geometry-optimized CsMnPb2Br8 structure, computed with PBE.

Calculated values
SG: P-1 (2)
Calculated total energy in eV per atom: -3.552
Crystal system: triclinic
ΔE_f (raw) in meV/atom: -983

a b c (Å): 7.200 7.570 9.589
angles (deg): 57.96 89.87 90.17
Positions (direct):
Br: 0.958 0.329 0.708
Br: 0.248 0.185 0.067
Br: 0.516 0.284 0.442
Br: 0.252 0.865 0.892
Br: 0.748 0.135 0.108
Br: 0.752 0.815 0.933
Br: 0.042 0.671 0.292
Br: 0.484 0.716 0.558
Pb: 0.455 0.749 0.240
Pb: 0.545 0.251 0.760
Cs: 0.000 0.000 0.500
Mn: 0.000 0.000 0.000

=====

A geometry-optimized Dy2HoNi2 structure, computed with PBE.

Calculated values
SG: C2/m (12)
E above lowest polymorph in eV per atom: 0.093
Formation energy from the elements in eV per atom: -0.236
Calculated total energy in eV per atom: -5.305
Crystal system: monoclinic

a b c (Å): 3.824 5.578 5.919
angles (deg): 105.29 108.85 90.00
Positions (direct):
Ni: 0.700 0.122 0.400
Ni: 0.300 0.878 0.600
Dy: 0.654 0.608 0.308
Dy: 0.346 0.392 0.692
Ho: 0.000 0.000 0.000

=====

A geometry-optimized DyP2PdO8 structure, computed with PBE.

Calculated values
SG: P-3m1 (164)
Calculated total energy in eV per atom: -7.050
Crystal system: trigonal
ΔE_f (raw) in meV/atom: -2027

a b c (Å): 5.180 5.180 6.725
angles (deg): 90.00 90.00 120.00
Positions (direct):
Dy: 0.000 0.000 0.500
P: 0.333 0.667 0.713
P: 0.667 0.333 0.287
O: 0.167 0.833 0.778
O: 0.833 0.167 0.222
O: 0.667 0.333 0.514
O: 0.333 0.667 0.486
O: 0.334 0.167 0.222
O: 0.666 0.833 0.778
O: 0.833 0.666 0.222
O: 0.167 0.334 0.778
Pd: 0.000 0.000 0.000

=====

A geometry-optimized ErAlSO2 structure, computed with PBE.

Calculated values
SG: P2_1/m (11)
Calculated total energy in eV per atom: -7.245
Crystal system: monoclinic
ΔE_f (raw) in meV/atom: -2775

a b c (Å): 3.840 6.629 7.067
angles (deg): 120.92 90.00 90.00
Positions (direct):
Er: 0.750 0.302 0.040
Er: 0.250 0.698 0.960
Al: 0.750 0.372 0.548
Al: 0.250 0.628 0.452
O: 0.250 0.514 0.156
O: 0.250 0.439 0.575
O: 0.750 0.486 0.844
O: 0.750 0.561 0.425
S: 0.750 0.013 0.236
S: 0.250 0.987 0.764

=====

A geometry-optimized Y3HfCd structure, computed with PBE.

Calculated values
SG: Pm-3m (221)
E above lowest polymorph in eV per atom: 0.000
Formation energy from the elements in eV per atom: 0.642
Calculated total energy in eV per atom: -5.410
Crystal system: cubic

a b c (Å): 5.567 5.567 5.567
angles (deg): 90.00 90.00 90.00
Positions (direct):
Y: 0.000 0.500 0.000
Y: 0.000 0.000 0.500
Y: 0.500 0.000 0.000
Cd: 0.500 0.500 0.500
Hf: 0.000 0.000 0.000

=====

A geometry-optimized NaCdPb2 structure, computed with PBE.

Calculated values
SG: Immm (71)
Formation energy from the elements in eV per atom: 0.048
Calculated total energy in eV per atom: -2.365
Crystal system: orthorhombic

a b c (Å): 7.131 7.131 7.131
angles (deg): 56.44 151.59 132.31
Positions (direct):
Cd: 0.000 0.500 0.500
Pb: 0.000 0.735 0.735
Pb: 0.000 0.265 0.265
Na: 0.000 0.000 0.000

=====

A geometry-optimized TmInNi structure, computed with PBE.

Calculated values
SG: F-43m (216)
Formation energy from the elements in eV per atom: -0.358
Calculated total energy in eV per atom: -4.689
Crystal system: cubic

a b c (Å): 4.530 4.530 4.530
angles (deg): 60.00 60.00 60.00
Positions (direct):
In: 0.500 0.500 0.500
Ni: 0.250 0.250 0.250
Tm: 0.000 0.000 0.000

=====

A geometry-optimized NbAs2BrO structure, computed with PBE.

Calculated values
SG: P4/mmm (123)
E above lowest polymorph in eV per atom: 0.267
Calculated total energy in eV per atom: -4.601
Crystal system: tetragonal
ΔE_f (raw) in meV/atom: 599

a b c (Å): 5.003 5.003 5.198
angles (deg): 90.00 90.00 90.00
Positions (direct):
Nb: 0.000 0.000 0.000
Br: 0.000 0.000 0.500
As: 0.000 0.500 0.000
As: 0.500 0.000 0.000
O: 0.500 0.500 0.500

=====

A geometry-optimized YMg2In2 structure, computed with PBE.

Calculated values
SG: P4/mbm (127)
E above lowest polymorph in eV per atom: 0.062
Formation energy from the elements in eV per atom: -0.167
Calculated total energy in eV per atom: -3.193
Crystal system: tetragonal

a b c (Å): 8.481 8.481 3.489
angles (deg): 90.00 90.00 90.00
Positions (direct):
In: 0.365 0.865 0.000
In: 0.635 0.135 0.000
In: 0.135 0.365 0.000
In: 0.865 0.635 0.000
Mg: 0.164 0.664 0.500
Mg: 0.664 0.836 0.500
Mg: 0.336 0.164 0.500
Mg: 0.836 0.336 0.500
Y: 0.000 0.000 0.000
Y: 0.500 0.500 0.000

=====

A geometry-optimized NaCe2YS4 structure, computed with PBE.

Calculated values
SG: P2/m (10)
Calculated total energy in eV per atom: -6.398
Crystal system: monoclinic
ΔE_f (raw) in meV/atom: -1878

a b c (Å): 4.002 6.959 6.955
angles (deg): 70.68 90.00 90.00
Positions (direct):
Ce: 0.000 0.000 0.000
Ce: 0.500 0.000 0.500
S: 0.500 0.741 0.256
S: 0.500 0.259 0.744
S: 0.000 0.746 0.746
S: 0.000 0.254 0.254
Y: 0.000 0.500 0.500
Na: 0.500 0.500 0.000

=====

A geometry-optimized Sr4Li2Au structure, computed with PBE.

Calculated values
SG: I4/mmm (139)
E above lowest polymorph in eV per atom: 0.108
Formation energy from the elements in eV per atom: -0.115
Calculated total energy in eV per atom: -2.091
Crystal system: tetragonal

a b c (Å): 6.015 6.015 9.688
angles (deg): 71.92 71.92 90.00
Positions (direct):
Sr: 0.182 0.182 0.636
Sr: 0.500 0.000 0.000
Sr: 0.000 0.500 0.000
Sr: 0.818 0.818 0.364
Au: 0.000 0.000 0.000
Li: 0.385 0.385 0.230
Li: 0.615 0.615 0.770

=====

A geometry-optimized NaCa2Rh2 structure, computed with PBE.

Calculated values
SG: P4/mbm (127)
E above lowest polymorph in eV per atom: 0.066
Formation energy from the elements in eV per atom: -0.055
Calculated total energy in eV per atom: -4.060
Crystal system: tetragonal

a b c (Å): 8.389 8.389 3.160
angles (deg): 90.00 90.00 90.00
Positions (direct):
Rh: 0.844 0.344 0.500
Rh: 0.344 0.156 0.500
Rh: 0.156 0.656 0.500
Rh: 0.656 0.844 0.500
Na: 0.000 0.000 0.000
Na: 0.500 0.500 0.000
Ca: 0.141 0.359 0.000
Ca: 0.641 0.141 0.000
Ca: 0.359 0.859 0.000
Ca: 0.859 0.641 0.000